1.
DFT (PBE) results for crystalline AlSbMo2 at its relaxed geometry.

a = 3.3783 Å, b = 4.7369 Å, c = 9.1465 Å
α = 90.00°, β = 90.00°, γ = 90.00°
Closest atoms and distances in Å follow each position.
Space group Cmm2 (No. 35)
One atom of each set of equivalent atoms:
1 Al 0.0000 0.0000 0.0000 [2 per cell]  2 Mo 2.64, 4 Al 2.91
2 Sb 0.0000 0.5000 0.7027 [2 per cell]  2 Mo 2.89, 4 Sb 2.91, 2 Al 3.20
3 Mo 0.0000 0.0000 0.4468 [2 per cell]  6 Mo 2.66-2.91, 2 Sb 2.89
4 Mo 0.0000 0.5000 0.2220 [2 per cell]  2 Al 2.64, 6 Mo 2.66-2.91

Summary:
- Density: 7.729 Mg/m³
- Formation energy from raw total energies: 0.29 eV per atom
- DFT total energy: -56.77 eV per cell
- Relative energy among the computed polymorphs: 341 meV per atom
- Total magnetization: 0.0 μB/f.u.

=====

2.
DFT (PBE) results for crystalline LiNpSbRu at its relaxed geometry.

a = 6.6572 Å, b = 6.6572 Å, c = 6.6572 Å
α = 90.00°, β = 90.00°, γ = 90.00°
Closest atoms and distances in Å follow each position.
Space group F-43m (No. 216)
One atom of each set of equivalent atoms:
1 Li 0.0000 0.0000 0.0000 [4 per cell]  4 Sb 2.88, 4 Np 2.88
2 Np 0.2500 0.2500 0.2500 [4 per cell]  4 Li 2.88, 4 Ru 2.88
3 Sb 0.2500 0.2500 0.7500 [4 per cell]  4 Li 2.88, 4 Ru 2.88
4 Ru 0.0000 0.0000 0.5000 [4 per cell]  4 Sb 2.88, 4 Np 2.88

Summary:
- Density: 10.508 Mg/m³
- Formation energy from raw total energies: -0.17 eV per atom
- DFT total energy: -115.73 eV per cell
- Total magnetization: 3.3 μB/f.u.

=====

3.
DFT (PBE) results for crystalline KTi3Te3 at its relaxed geometry.

a = 9.8790 Å, b = 9.8790 Å, c = 4.8312 Å
α = 90.00°, β = 90.00°, γ = 120.00°
Closest atoms and distances in Å follow each position.
Space group P6_3/m (No. 176)
One atom of each set of equivalent atoms:
1 K 0.3333 0.6667 0.2500 [2 per cell]  9 Te 3.75-3.80, 3 Ti 4.15
2 Ti 0.0341 0.1866 0.2500 [6 per cell]  4 Te 2.84-2.89, 6 Ti 2.94-2.95
3 Te 0.0641 0.3600 0.7500 [6 per cell]  4 Ti 2.84-2.89

Summary:
- Density: 4.599 Mg/m³
- Formation energy from raw total energies: -0.71 eV per atom
- DFT total energy: -78.36 eV per cell
- Total magnetization: 4.9 μB/f.u.

=====

4.
DFT (PBE) results for crystalline PmPaCo at its relaxed geometry.

a = 3.9098 Å, b = 3.9098 Å, c = 34.4361 Å
α = 90.00°, β = 90.00°, γ = 120.00°
Closest atoms and distances in Å follow each position.
Space group R-3m (No. 166, hexagonal axes)
One atom of each set of equivalent atoms:
1 Pm 0.0000 0.0000 0.1152 [6 per cell]  3 Co 2.82
2 Pa 0.0000 0.0000 0.3035 [6 per cell]  3 Co 2.58
3 Co 0.0000 0.0000 0.3993 [6 per cell]  3 Pa 2.58, 3 Pm 2.82

Summary:
- Density: 9.506 Mg/m³
- ΔE_f: -0.078 eV/atom
- DFT total energy: -129.52 eV per cell
- Relative energy among the computed polymorphs: 88 meV per atom
- Total magnetization: 0.0 μB/f.u.